# YTi2Ga, relaxed, DFT PBE-GGA
# E	-6.093	eV per atom
# calculated formation energy	5.25	kcal/mol of atoms
data_YTi2Ga
_chemical_formula_sum 'Y4 Ti8 Ga4'
_space_group_name_H-M_alt 'I -4 2 d'
_space_group_IT_number 122
_space_group_name_Hall 'I -4 2bw'
_cell_length_a 7.778
_cell_length_b 7.778
_cell_length_c 5.730
_cell_angle_alpha 90.00
_cell_angle_beta 90.00
_cell_angle_gamma 90.00
loop_
_atom_site_label
_atom_site_type_symbol
_atom_site_fract_x
_atom_site_fract_y
_atom_site_fract_z
Y1 Y 0.000 0.000 0.000
Ti1 Ti 0.207 0.250 0.625
Ga1 Ga 0.000 0.000 0.500

---

# SrPWCl2, relaxed, DFT PBE-GGA
# E	-4.061	eV per atom
# E_form (uncorrected)	66.2	kJ/mol of atoms
data_SrPWCl2
_chemical_formula_sum 'Sr1 P1 W1 Cl2'
_space_group_name_H-M_alt 'P 4/m m m'
_space_group_IT_number 123
_space_group_name_Hall '-P 4 2'
_cell_length_a 5.297
_cell_length_b 5.297
_cell_length_c 6.429
_cell_angle_alpha 90.00
_cell_angle_beta 90.00
_cell_angle_gamma 90.00
loop_
_atom_site_label
_atom_site_type_symbol
_atom_site_fract_x
_atom_site_fract_y
_atom_site_fract_z
Sr1 Sr 0.000 0.000 0.000
P1 P 0.000 0.000 0.500
W1 W 0.500 0.500 0.500
Cl1 Cl 0.000 0.500 0.000

---

# Ce2Ge4Pt3Au, relaxed, DFT PBE-GGA
# E	-5.998	eV per atom
# calculated formation energy	-19.00	kcal/mol of atoms
data_Ce2Ge4Pt3Au
_chemical_formula_sum 'Ce2 Ge4 Pt3 Au1'
_space_group_name_H-M_alt 'P -4 m 2'
_space_group_IT_number 115
_space_group_name_Hall 'P -4 -2'
_cell_length_a 4.416
_cell_length_b 4.416
_cell_length_c 10.049
_cell_angle_alpha 90.00
_cell_angle_beta 90.00
_cell_angle_gamma 90.00
loop_
_atom_site_label
_atom_site_type_symbol
_atom_site_fract_x
_atom_site_fract_y
_atom_site_fract_z
Ce1 Ce 0.000 0.500 0.248
Ge1 Ge 0.000 0.000 0.000
Ge2 Ge 0.000 0.500 0.636
Ge3 Ge 0.500 0.500 0.000
Pt1 Pt 0.000 0.500 0.880
Pt2 Pt 0.500 0.500 0.500
Au1 Au 0.000 0.000 0.500